(1)
BaCu2Ir after structural relaxation. Source: Alexandria via LeMat-Bulk, functional GGA-PBE.

Space-group type: I4_1/amd (141)
Offset from the most stable computed form, meV per atom: 217
D(E_F), states/eV/f.u.: 4.603
Calculated total energy, eV/cell: -36.556

Unit cell a=4.777 b=4.777 c=9.257 alpha=75.05 beta=75.05 gamma=90.00
Fractional positions:
Ir 0.000 0.000 0.000
Ir 0.750 0.250 0.500
Ba 0.500 0.500 0.000
Ba 0.250 0.750 0.500
Cu 0.875 0.125 0.250
Cu 0.875 0.625 0.250
Cu 0.375 0.125 0.750
Cu 0.875 0.125 0.750

***

(2)
Ba2CuIr after structural relaxation. Source: Alexandria via LeMat-Bulk, functional GGA-PBE.

Space-group type: Pmmm (47)
Offset from the most stable computed form, meV per atom: 253
D(E_F), states/eV/f.u.: 1.532
Calculated total energy, eV/cell: -16.374

Unit cell a=3.832 b=3.821 c=8.013 alpha=90.00 beta=90.00 gamma=90.00
Fractional positions:
Ba 0.000 0.000 0.979
Ba 0.000 0.000 0.521
Cu 0.500 0.500 0.250
Ir 0.500 0.500 0.750

***

(3)
BaCu2Ir after structural relaxation. Source: Alexandria via LeMat-Bulk, functional GGA-PBE.

Space-group type: R-3m (166)
Offset from the most stable computed form, meV per atom: 857
D(E_F), states/eV/f.u.: 4.066
Calculated total energy, eV/cell: -15.717

Unit cell a=9.489 b=9.489 c=9.489 alpha=18.69 beta=18.69 gamma=18.69
Fractional positions:
Ba 0.750 0.750 0.750
Cu 0.984 0.984 0.984
Cu 0.516 0.516 0.516
Ir 0.250 0.250 0.250